<w>
The following is a PBE calculation of a relaxed DySBr crystal, from the Alexandria database.

As for the total magnetization: 0.0 μB per formula unit. Its symmetry is C2/m. The calculated volume is 33.9 Å³/atom.

Cell: 4.0907 7.1710 7.8107 Å, 112.38 105.18 90.00°
Fractional coordinates of all 6 atoms:
Br1 0.8637 0.1744 0.7273
Br2 0.1363 0.8256 0.2727
Dy1 0.2446 0.2736 0.4892
Dy2 0.7554 0.7264 0.5108
S1 0.3520 0.6681 0.7039
S2 0.6480 0.3319 0.2961



<x>
The following is a PBE calculation of a relaxed DySBr crystal, from the Alexandria database.

As for the total magnetization: 0.0 μB per formula unit. Its symmetry is C2/m. The calculated volume is 34.1 Å³/atom.

Cell: 4.0529 7.0722 7.4205 Å, 87.10 105.85 90.00°
Fractional coordinates of all 6 atoms:
Br1 0.3785 0.6715 0.7571
Br2 0.6215 0.3285 0.2429
Dy1 0.0000 0.5000 0.0000
Dy2 0.5000 0.0000 0.0000
S1 0.9090 0.1873 0.8179
S2 0.0910 0.8127 0.1821



The least stable of the structures above is <x>, whereas <w> is the most stable.